## Fe2WBr (GGA-PBE)

Data for a relaxed Fe2WBr crystal.

The uncorrected formation energy is 3.99 eV per formula unit. The calculation puts the energy relative to the lowest polymorph listed for this composition at 2.10 eV/f.u. The value obtained for the total magnetization is 16.06 μB/cell.

Lattice parameters (Å, degrees): 6.125 6.125 6.125 90.00 90.00 90.00
Space group F-43m (No. 216)
One atom of each set of equivalent atoms:
Fe: 0.000 0.000 0.000 x4
Fe: 0.250 0.250 0.250 x4
W: 0.250 0.250 0.750 x4
Br: 0.000 0.000 0.500 x4


## CeGdNiRu (GGA-PBE)

Data for a relaxed CeGdNiRu crystal.

The value obtained for the total magnetization is 26.55 μB/cell. Its formation energy is -0.30 eV/atom.

Lattice parameters (Å, degrees): 6.867 6.867 6.867 90.00 90.00 90.00
Space group F-43m (No. 216)
One atom of each set of equivalent atoms:
Ce: 0.000 0.000 0.000 x4
Gd: 0.000 0.000 0.500 x4
Ni: 0.250 0.250 0.250 x4
Ru: 0.250 0.250 0.750 x4


## Ba2CuSn2 (GGA-PBE)

Data for a relaxed Ba2CuSn2 crystal.

The value obtained for the total magnetization is 0.01 μB/cell. Its formation energy is -0.30 eV/atom.

Lattice parameters (Å, degrees): 7.678 7.678 5.567 90.00 90.00 90.00
Space group P4/mbm (No. 127)
One atom of each set of equivalent atoms:
Ba: 0.162 0.338 0.000 x4
Cu: 0.000 0.000 0.500 x2
Sn: 0.146 0.646 0.500 x4


## Tb2MnS4 (GGA-PBE)

Data for a relaxed Tb2MnS4 crystal.

The uncorrected formation energy is -11.40 eV per formula unit. The calculation puts the energy relative to the lowest polymorph listed for this composition at 0.00 eV/f.u. The value obtained for the total magnetization is 40.00 μB/cell.

Lattice parameters (Å, degrees): 11.133 11.133 11.133 90.00 90.00 90.00
Space group Fd-3m (No. 227, origin choice 2)
One atom of each set of equivalent atoms:
Tb: 0.000 0.000 0.000 x16
Mn: 0.125 0.125 0.625 x8
S: 0.003 0.003 0.247 x32